Compound: Ba2GaPb5
Source: Alexandria
Functional: PBE
Structure: relaxed

Results
* energy of formation: -1.8 eV per formula unit
* uncorrected energy: -0.1248 Ha/atom

Cell: 6.930 6.930 12.822 Å, 90.00 90.00 90.00°
Atoms (fractional coordinates):
Ba1 0.000 0.500 0.000
Ba2 0.000 0.500 0.500
Ba3 0.500 0.000 0.000
Ba4 0.500 0.000 0.500
Ga1 0.000 0.000 0.389
Ga2 0.500 0.500 0.889
Pb1 0.000 0.000 0.598
Pb2 0.248 0.248 0.258
Pb3 0.248 0.752 0.258
Pb4 0.252 0.252 0.758
Pb5 0.252 0.748 0.758
Pb6 0.500 0.500 0.098
Pb7 0.748 0.252 0.758
Pb8 0.748 0.748 0.758
Pb9 0.752 0.248 0.258
Pb10 0.752 0.752 0.258